Crystalline LiPm at its relaxed geometry. Source: Alexandria, functional GGA-PBE.

Calculated values
E above lowest polymorph in meV/atom: 0
DFT formation energy in eV/atom: 0.060

Lattice parameters (Å, degrees): 3.712 3.712 7.951 90.00 90.00 90.00
Space group P4/nmm (No. 129, origin choice 2)
Symmetry-distinct sites (fractional):
Li 0.250 0.250 0.084 x2
Pm 0.250 0.250 0.649 x2

---

Crystalline Pm2CuAu at its relaxed geometry. Source: Alexandria, functional GGA-PBE.

Calculated values
DFT formation energy in eV/atom: -0.503

Lattice parameters (Å, degrees): 5.880 4.662 7.769 90.00 111.47 90.00
Space group P2_1/m (No. 11)
Symmetry-distinct sites (fractional):
Pm 0.213 0.250 0.426 x2
Pm 0.229 0.250 0.927 x2
Cu 0.350 0.750 0.706 x2
Au 0.342 0.750 0.212 x2

---

Crystalline Tm5Pd3 at its relaxed geometry. Source: Alexandria, functional GGA-PBE.

Calculated values
DFT formation energy in eV/atom: -0.731

Lattice parameters (Å, degrees): 11.005 11.005 6.297 90.00 90.00 90.00
Space group P4/ncc (No. 130, origin choice 2)
Symmetry-distinct sites (fractional):
Tm 0.041 0.162 0.131 x16
Tm 0.250 0.750 0.000 x4
Pd 0.095 0.595 0.750 x8
Pd 0.250 0.250 0.388 x4

---

Crystalline NiHgBi2H at its relaxed geometry. Source: Alexandria, functional GGA-PBE.

Calculated values
E above lowest polymorph in meV/atom: 0

Lattice parameters (Å, degrees): 5.494 5.494 3.362 90.00 90.00 90.00
Space group P4/mmm (No. 123)
Symmetry-distinct sites (fractional):
Ni 0.000 0.000 0.000 x1
Hg 0.500 0.500 0.500 x1
Bi 0.000 0.500 0.000 x2
H 0.000 0.000 0.500 x1

---

Crystalline MnBe2Os at its relaxed geometry. Source: Alexandria, functional GGA-PBE.

Calculated values
DFT formation energy in eV/atom: 0.039

Lattice parameters (Å, degrees): 2.530 4.458 4.479 111.71 101.28 100.83
Space group P-1 (No. 2)
Symmetry-distinct sites (fractional):
Mn 0.000 0.000 0.000 x1
Be 0.500 0.000 0.500 x1
Be 0.500 0.500 0.000 x1
Os 0.000 0.500 0.500 x1

---

Crystalline Sr2Cd8Sn at its relaxed geometry. Source: Alexandria, functional GGA-PBE.

Calculated values
DFT formation energy in eV/atom: -0.183

Lattice parameters (Å, degrees): 6.268 18.683 5.815 90.00 118.75 90.00
Space group C2/m (No. 12)
Symmetry-distinct sites (fractional):
Sr 0.000 0.158 0.000 x4
Cd 0.000 0.248 0.500 x4
Cd 0.134 0.374 0.294 x8
Cd 0.189 0.500 0.833 x4
Sn 0.000 0.000 0.500 x2

---

Crystalline Zr2CrBr at its relaxed geometry. Source: Alexandria, functional GGA-PBE.

Calculated values
E above lowest polymorph in meV/atom: 42
Raw formation energy in meV per atom: -175

Lattice parameters (Å, degrees): 5.008 4.196 8.197 90.00 103.34 90.00
Space group C2/m (No. 12)
Symmetry-distinct sites (fractional):
Zr 0.082 0.000 0.196 x4
Cr 0.000 0.500 0.000 x2
Br 0.000 0.500 0.500 x2

---

Repeat the sixth record exactly.
Crystalline Sr2Cd8Sn at its relaxed geometry. Source: Alexandria, functional GGA-PBE.

Calculated values
DFT formation energy in eV/atom: -0.183

Lattice parameters (Å, degrees): 6.268 18.683 5.815 90.00 118.75 90.00
Space group C2/m (No. 12)
Symmetry-distinct sites (fractional):
Sr 0.000 0.158 0.000 x4
Cd 0.000 0.248 0.500 x4
Cd 0.134 0.374 0.294 x8
Cd 0.189 0.500 0.833 x4
Sn 0.000 0.000 0.500 x2

---

What is the formula in the third record?
Tm5Pd3